Density functional theory data (PBE) for an optimized crystal structure of PuMgPb6.

Results
For the total energy, the calculation gives -4.800 eV per atom. The calculation puts the energy of formation from the pure elements at -0.027 eV/atom.

a = 6.7532 Å, b = 6.7532 Å, c = 5.6064 Å
α = 90.00°, β = 90.00°, γ = 113.64°
With the nearest neighbours (Å) after each atom.
Positions (direct):
1 Pu 0.0000 0.0000 0.0000  8 Pb 3.38-3.46, 2 Mg 3.70
2 Mg 0.5000 0.5000 0.0000  8 Pb 3.26-3.38
3 Pb 0.0000 0.5000 0.0000  6 Pb 3.37-3.70, 2 Mg 3.38, 2 Pu 3.38
4 Pb 0.2278 0.7722 0.5000  8 Pb 3.28-3.50
5 Pb 0.2748 0.2748 0.5000  2 Mg 3.26, 5 Pb 3.28-3.50, 2 Pu 3.46
6 Pb 0.5000 0.0000 0.0000  6 Pb 3.37-3.70, 2 Mg 3.38, 2 Pu 3.38
7 Pb 0.7252 0.7252 0.5000  2 Mg 3.26, 5 Pb 3.28-3.50, 2 Pu 3.46
8 Pb 0.7722 0.2278 0.5000  8 Pb 3.28-3.50